First-principles (PBE+U) data for crystalline SmNiC2O8 at its relaxed geometry, as listed in Alexandria.

Geometry as POSCAR:
```
SmNiC2O8
1.0
5.121 0.000 0.000
-2.560 4.435 0.000
0.000 0.000 6.102
Sm Ni C O
1 1 2 8
direct
0.000 0.000 0.000
0.000 0.000 0.500
0.333 0.667 0.658
0.667 0.333 0.342
0.184 0.369 0.731
0.184 0.816 0.731
0.333 0.667 0.433
0.369 0.184 0.269
0.631 0.816 0.731
0.667 0.333 0.567
0.816 0.184 0.269
0.816 0.631 0.269
```

Results
SG	P-3m1
total DFT energy (no corrections)	-6.595	eV per atom